Ta2PI: optimized geometry, GGA-PBE.

a = 6.5571 Å, b = 6.5571 Å, c = 6.5571 Å
α = 90.00°, β = 90.00°, γ = 90.00°
Space group Fm-3m (No. 225)
One atom of each set of equivalent atoms:
Ta (0.2500, 0.2500, 0.2500) (multiplicity 8)
P (0.0000, 0.0000, 0.0000) (multiplicity 4)
I (0.0000, 0.0000, 0.5000) (multiplicity 4)

Properties
Spin magnetization = 0.000 μB per formula unit
E_form (uncorrected) = 0.38 eV/atom
V = 17.6 Å³/atom
VASP energy = -116.60 eV for the cell shown